Record 1
{"formula": "Sb2TeRuRh", "functional": "GGA-PBE", "state": "optimized geometry", "formation_energy_uncorrected_ev_per_atom": 0.9069, "spacegroup": "P4/mmm", "relative_energy_ev_per_atom": 0.125, "cell": [[5.000, 0.000, 0.000], [0.000, 5.000, 0.000], [0.000, 0.000, 5.244]], "species": ["Sb", "Sb", "Te", "Rh", "Ru"], "frac_coords": [[0.000, 0.500, 0.000], [0.500, 0.000, 0.000], [0.000, 0.000, 0.500], [0.000, 0.000, 0.000], [0.500, 0.500, 0.500]]}

Record 2
{"formula": "LiHoScIr", "functional": "GGA-PBE", "state": "optimized geometry", "spacegroup": "F-43m", "formation_energy_ev_per_atom": -0.606, "cell": [[-2.840, -1.804, -3.370], [1.882, -1.801, -3.987], [-0.097, -4.699, -0.767]], "species": ["Sc", "Ir", "Ho", "Li"], "frac_coords": [[0.250, 0.250, 0.250], [0.500, 0.500, 0.500], [0.750, 0.750, 0.750], [0.000, 0.000, 0.000]]}

Record 3
{"formula": "DyAgCl4", "functional": "GGA-PBE", "state": "optimized geometry", "formation_energy_uncorrected_ev_per_atom": -1.6481, "spacegroup": "P2/m", "cell": [[4.000, 0.000, 0.000], [0.000, 6.508, 0.321], [0.000, 0.319, 7.244]], "species": ["Dy", "Ag", "Cl", "Cl", "Cl", "Cl"], "frac_coords": [[0.000, 0.000, 0.000], [0.500, 0.000, 0.500], [0.000, 0.806, 0.697], [0.500, 0.242, 0.862], [0.500, 0.758, 0.138], [0.000, 0.194, 0.303]]}

Record 4
{"formula": "LiTmNiPb", "functional": "GGA-PBE", "state": "optimized geometry", "spacegroup": "F-43m", "formation_energy_ev_per_atom": -0.393, "cell": [[4.666, 0.000, 0.000], [2.333, 4.041, 0.000], [2.333, 1.347, 3.810]], "species": ["Pb", "Ni", "Tm", "Li"], "frac_coords": [[0.500, 0.500, 0.500], [0.250, 0.250, 0.250], [0.000, 0.000, 0.000], [0.750, 0.750, 0.750]]}

Electronic total energy, respectively: -4.696; -6.027; -4.121; -4.362 eV/atom.